A relaxed structure of BaRePb2. Source: the Alexandria database, functional PBE.

It has space group F-43m (No. 216), with a = 7.713 Å, b = 7.713 Å, c = 7.713 Å, α = 90.00°, β = 90.00° and γ = 90.00°. The inequivalent atoms are Ba at (0.000, 0.000, 0.000), Re at (0.250, 0.250, 0.250), Pb at (0.000, 0.000, 0.500) and Pb at (0.250, 0.250, 0.750).

The calculation puts the total magnetization at 9.6 μB per cell. The energy comes out at -72.36 eV for the cell shown. The offset from the most stable computed form is 0.507 eV/atom. The energy of formation from the pure elements is 0.924 eV per atom. The density of states at the Fermi level comes out at 1.25 states/eV per atom.